1.
Below is a relaxed structure of Fe2CoPAu, with properties calculated at the PBE-GGA level.

Summary:
Energy of formation, eV per atom: 0.234

a b c (Å): 4.208 4.135 4.208
angles (deg): 90.00 90.00 90.00
Last column: magnetic moment on the atom in μB.
Positions (direct):
Au1 0.500 0.500 0.500  0.01
Fe1 0.500 0.000 0.000  2.38
Fe2 0.000 0.000 0.500  2.21
P1 0.000 0.000 0.000  -0.06
Co1 0.000 0.500 0.000  1.06

=====

2.
Below is a relaxed structure of H6AuI, with properties calculated at the PBE-GGA level.

Summary:
DFT total energy, eV/atom: -2.6662

a b c (Å): 13.959 5.525 5.525
angles (deg): 121.02 34.83 145.17
Positions (direct):
H1 0.709 0.994 0.569
H2 0.270 0.546 0.454
H3 0.291 0.006 0.431
H4 0.709 0.431 0.006
H5 0.291 0.569 0.994
H6 0.730 0.454 0.546
I1 0.000 0.000 0.000
Au1 0.500 0.000 0.000

=====

3.
Below is a relaxed structure of Ti2Zn2Sn, with properties calculated at the PBE-GGA level.

Summary:
Energy of formation, eV per atom: 0.050

a b c (Å): 8.072 8.072 4.766
angles (deg): 114.10 114.10 114.61
Positions (direct):
Ti1 0.466 0.534 0.250
Ti2 0.966 0.034 0.750
Ti3 0.534 0.466 0.750
Ti4 0.034 0.966 0.250
Sn1 0.250 0.750 0.250
Sn2 0.750 0.250 0.750
Zn1 0.885 0.614 0.500
Zn2 0.115 0.386 0.500
Zn3 0.614 0.885 0.000
Zn4 0.386 0.115 0.000

=====

4.
Below is a relaxed structure of PPd6Se, with properties calculated at the PBE-GGA level.

Summary:
DFT total energy, eV/atom: -5.1828

a b c (Å): 7.940 7.940 6.585
angles (deg): 107.32 107.09 120.62
Positions (direct):
Pd1 0.476 0.815 0.644
Pd2 0.749 0.584 0.333
Pd3 0.103 0.676 0.779
Pd4 0.286 0.480 0.124
Pd5 0.828 0.168 0.644
Pd6 0.251 0.416 0.667
Pd7 0.172 0.832 0.356
Pd8 0.524 0.185 0.356
Pd9 0.714 0.520 0.876
Pd10 0.355 0.161 0.876
Pd11 0.645 0.839 0.124
Pd12 0.897 0.324 0.221
Se1 0.500 0.500 0.500
Se2 0.000 0.000 0.500
P1 0.500 0.000 0.000
P2 0.000 0.500 0.000

=====

5.
Below is a relaxed structure of SmY3In3Te8, with properties calculated at the PBE-GGA level.

Summary:
DFT total energy, eV/atom: -4.8489

a b c (Å): 8.803 8.799 9.362
angles (deg): 118.02 90.00 120.02
Positions (direct):
Te1 0.754 0.017 0.272
Te2 0.258 0.515 0.273
Te3 0.246 0.492 0.728
Te4 0.246 0.983 0.728
Te5 0.263 0.018 0.272
Te6 0.754 0.508 0.272
Te7 0.742 0.485 0.727
Te8 0.737 0.982 0.728
In1 0.000 0.500 0.000
In2 0.500 0.500 0.000
In3 0.000 0.000 0.000
Sm1 0.000 0.000 0.500
Y1 0.500 0.500 0.500
Y2 0.000 0.500 0.500
Y3 0.500 0.000 0.500

=====

6.
Below is a relaxed structure of CsSnHAu2, with properties calculated at the PBE-GGA level.

Summary:
DFT total energy, eV/atom: -3.0102

a b c (Å): 5.546 5.546 4.231
angles (deg): 90.00 90.00 90.00
Positions (direct):
Au1 0.000 0.500 0.000
Au2 0.500 0.000 0.000
Sn1 0.000 0.000 0.000
Cs1 0.500 0.500 0.500
H1 0.000 0.000 0.500

=====

7.
Below is a relaxed structure of ErPaCoPt, with properties calculated at the PBE-GGA level.

Summary:
Energy of formation, eV per atom: -0.517

a b c (Å): 4.840 4.840 4.840
angles (deg): 60.00 60.00 60.00
Positions (direct):
Pt1 0.750 0.750 0.750
Pa1 0.500 0.500 0.500
Er1 0.000 0.000 0.000
Co1 0.250 0.250 0.250

=====

8.
Below is a relaxed structure of La2TcPdPt, with properties calculated at the PBE-GGA level.

Summary:
Energy of formation, eV per atom: 0.395

a b c (Å): 5.583 4.625 5.583
angles (deg): 90.00 90.00 90.00
Last column: magnetic moment on the atom in μB.
Positions (direct):
La1 0.000 0.000 0.500  -0.02
La2 0.500 0.000 0.000  -0.03
Pt1 0.500 0.500 0.500  0.08
Pd1 0.000 0.000 0.000  0.02
Tc1 0.000 0.500 0.000  0.73

=====

9.
Below is a relaxed structure of Nb2CrCu, with properties calculated at the PBE-GGA level.

Summary:
Offset from the most stable computed form, kcal/mol of atoms: 1.29
Energy of formation, eV per atom: 0.148

a b c (Å): 4.418 4.418 4.418
angles (deg): 60.00 60.00 60.00
Positions (direct):
Nb1 0.250 0.250 0.250
Nb2 0.750 0.750 0.750
Cr1 0.000 0.000 0.000
Cu1 0.500 0.500 0.500

=====

10.
Below is a relaxed structure of CrAs3Ir, with properties calculated at the PBE-GGA level.

Summary:
Offset from the most stable computed form, kcal/mol of atoms: 0.00
Energy of formation, eV per atom: 0.796

a b c (Å): 4.542 4.542 4.542
angles (deg): 90.00 90.00 90.00
Last column: magnetic moment on the atom in μB.
Positions (direct):
As1 0.000 0.000 0.500  -0.01
As2 0.000 0.500 0.000  -0.01
As3 0.500 0.000 0.000  -0.01
Cr1 0.000 0.000 0.000  0.13
Ir1 0.500 0.500 0.500  0.01

=====

11.
Below is a relaxed structure of AlTl2Ni, with properties calculated at the PBE-GGA level.

Summary:
Offset from the most stable computed form, kcal/mol of atoms: 8.14
Energy of formation, eV per atom: 0.381

a b c (Å): 4.602 4.602 5.960
angles (deg): 76.83 76.83 43.65
Positions (direct):
Tl1 0.012 0.012 0.976
Tl2 0.488 0.488 0.524
Ni1 0.750 0.750 0.750
Al1 0.250 0.250 0.250

=====

12.
Below is a relaxed structure of Pr4SmEr10, with properties calculated at the PBE-GGA level.

Summary:
Energy of formation, eV per atom: 0.273

a b c (Å): 7.991 8.909 8.909
angles (deg): 78.40 63.35 63.35
Positions (direct):
Er1 0.088 0.208 0.208
Er2 0.705 0.208 0.792
Er3 0.750 0.500 0.500
Er4 0.250 0.500 0.500
Er5 0.705 0.792 0.208
Er6 0.295 0.792 0.208
Er7 0.497 0.208 0.208
Er8 0.503 0.792 0.792
Er9 0.295 0.208 0.792
Er10 0.912 0.792 0.792
Pr1 0.227 0.000 0.546
Pr2 0.773 0.000 0.454
Pr3 0.227 0.546 0.000
Pr4 0.773 0.454 0.000
Sm1 0.000 0.000 0.000

=====

13.
Below is a relaxed structure of TbGd2Te, with properties calculated at the PBE-GGA level.

Summary:
Offset from the most stable computed form, kcal/mol of atoms: 0.00

a b c (Å): 3.924 3.924 7.831
angles (deg): 90.00 90.00 90.00
Last column: magnetic moment on the atom in μB.
Positions (direct):
Gd1 0.000 0.000 0.277  7.18
Gd2 0.000 0.000 0.723  7.18
Tb1 0.500 0.500 0.000  0.17
Te1 0.500 0.500 0.500  -0.04

=====

14.
Below is a relaxed structure of Cd3BiC, with properties calculated at the PBE-GGA level.

Summary:
Offset from the most stable computed form, kcal/mol of atoms: 20.34
Energy of formation, eV per atom: 1.630

a b c (Å): 5.930 5.930 5.930
angles (deg): 90.00 90.00 90.00
Last column: magnetic moment on the atom in μB.
Positions (direct):
Cd1 0.000 0.000 0.500  0.01
Cd2 0.000 0.500 0.000  0.01
Cd3 0.500 0.000 0.000  0.02
C1 0.500 0.500 0.500  1.07
Bi1 0.000 0.000 0.000  0.03

=====

15.
Below is a relaxed structure of Nb2Se5I, with properties calculated at the PBE-GGA level.

Summary:
DFT total energy, eV/atom: -5.1683

a b c (Å): 4.426 7.115 7.115
angles (deg): 66.92 71.88 71.88
Positions (direct):
I1 0.000 0.000 0.000
Se1 0.669 0.132 0.530
Se2 0.000 0.500 0.500
Se3 0.331 0.470 0.868
Se4 0.669 0.530 0.132
Se5 0.331 0.868 0.470
Nb1 0.223 0.277 0.277
Nb2 0.777 0.723 0.723

=====

16.
Below is a relaxed structure of Pm2DyF, with properties calculated at the PBE-GGA level.

Summary:
DFT total energy, eV/atom: -4.8990

a b c (Å): 3.712 3.712 9.501
angles (deg): 78.74 78.74 60.00
Positions (direct):
Pm1 0.884 0.884 0.349
Pm2 0.116 0.116 0.651
F1 0.500 0.500 0.500
Dy1 0.000 0.000 0.000

=====

17.
Below is a relaxed structure of Tl2Ag2S, with properties calculated at the PBE-GGA level.

Summary:
DFT total energy, eV/atom: -2.8783

a b c (Å): 7.050 7.050 4.768
angles (deg): 90.00 90.00 90.00
Positions (direct):
S1 0.500 0.500 0.000
S2 0.000 0.000 0.000
Ag1 0.858 0.642 0.000
Ag2 0.642 0.142 0.000
Ag3 0.358 0.858 0.000
Ag4 0.142 0.358 0.000
Tl1 0.670 0.830 0.500
Tl2 0.830 0.330 0.500
Tl3 0.170 0.670 0.500
Tl4 0.330 0.170 0.500

=====

18.
Below is a relaxed structure of ScAsSe2S, with properties calculated at the PBE-GGA level.

Summary:
Offset from the most stable computed form, kcal/mol of atoms: 0.00

a b c (Å): 4.797 4.797 4.805
angles (deg): 90.00 90.00 90.00
Positions (direct):
S1 0.000 0.000 0.000
Se1 0.000 0.500 0.000
Se2 0.500 0.000 0.000
As1 0.000 0.000 0.500
Sc1 0.500 0.500 0.500

=====

19.
Below is a relaxed structure of Tl2ZnI4, with properties calculated at the PBE-GGA level.

Summary:
DFT total energy, eV/atom: -2.2537

a b c (Å): 5.784 5.784 9.412
angles (deg): 72.10 72.10 90.00
Positions (direct):
Tl1 0.632 0.632 0.735
Tl2 0.368 0.368 0.265
I1 0.164 0.164 0.672
I2 0.000 0.500 0.000
I3 0.500 0.000 0.000
I4 0.836 0.836 0.328
Zn1 0.000 0.000 0.000

=====

20.
Below is a relaxed structure of CsPm4F12, with properties calculated at the PBE-GGA level.

Summary:
DFT total energy, eV/atom: -6.2474

a b c (Å): 7.965 7.965 7.965
angles (deg): 109.48 109.46 109.47
Positions (direct):
F1 0.740 0.000 0.260
F2 0.740 0.241 0.980
F3 0.260 0.759 0.020
F4 0.981 0.241 0.740
F5 0.260 0.520 0.260
F6 0.740 0.480 0.740
F7 0.499 0.759 0.740
F8 0.260 0.241 0.501
F9 0.740 0.759 0.499
F10 0.260 0.000 0.740
F11 0.019 0.759 0.260
F12 0.501 0.241 0.260
Pm1 0.000 0.000 0.500
Pm2 0.500 0.500 0.500
Pm3 0.500 0.000 0.000
Pm4 0.000 0.500 0.000
Cs1 0.500 0.000 0.500

=====

21.
Below is a relaxed structure of CrCoNi6, with properties calculated at the PBE-GGA level.

Summary:
Offset from the most stable computed form, kcal/mol of atoms: 0.46
Energy of formation, eV per atom: 0.029

a b c (Å): 6.124 6.124 10.009
angles (deg): 90.00 90.00 109.55
Last column: magnetic moment on the atom in μB.
Positions (direct):
Cr1 0.252 0.748 0.750  1.96
Cr2 0.500 0.500 0.999  2.12
Cr3 0.748 0.252 0.750  1.96
Cr4 0.500 0.500 0.501  2.12
Ni1 0.122 0.374 0.126  0.58
Ni2 0.877 0.627 0.875  0.23
Ni3 0.626 0.878 0.374  0.58
Ni4 0.877 0.627 0.625  0.23
Ni5 0.627 0.877 0.625  0.23
Ni6 0.122 0.374 0.374  0.58
Ni7 0.000 0.000 0.750  0.42
Ni8 0.373 0.123 0.875  0.23
Ni9 0.626 0.878 0.126  0.58
Ni10 0.500 0.500 0.750  0.08
Ni11 0.750 0.250 0.499  0.40
Ni12 0.878 0.626 0.374  0.58
Ni13 0.374 0.122 0.126  0.58
Ni14 0.373 0.123 0.625  0.23
Ni15 0.750 0.250 0.001  0.40
Ni16 0.250 0.750 0.001  0.40
Ni17 0.500 0.500 0.250  0.47
Ni18 0.627 0.877 0.875  0.23
Ni19 0.878 0.626 0.126  0.58
Ni20 0.000 0.000 0.250  0.69
Ni21 0.250 0.750 0.499  0.40
Ni22 0.123 0.373 0.875  0.23
Ni23 0.374 0.122 0.374  0.58
Ni24 0.123 0.373 0.625  0.23
Co1 0.746 0.254 0.250  1.83
Co2 0.000 0.000 0.001  1.84
Co3 0.000 0.000 0.499  1.84
Co4 0.254 0.746 0.250  1.83

=====

22.
Below is a relaxed structure of Pm5Nd2Er4, with properties calculated at the PBE-GGA level.

Summary:
Offset from the most stable computed form, kcal/mol of atoms: 2.45
Energy of formation, eV per atom: 0.176

a b c (Å): 3.532 9.142 12.744
angles (deg): 111.02 97.97 90.00
Positions (direct):
Pm1 0.143 0.341 0.286
Pm2 0.143 0.945 0.286
Pm3 0.857 0.659 0.714
Pm4 0.500 0.000 0.000
Pm5 0.857 0.055 0.714
Nd1 0.268 0.268 0.536
Nd2 0.732 0.732 0.464
Er1 0.000 0.685 0.000
Er2 0.596 0.596 0.193
Er3 0.000 0.315 0.000
Er4 0.404 0.404 0.807

=====

23.
Below is a relaxed structure of RbScSi, with properties calculated at the PBE-GGA level.

Summary:
Offset from the most stable computed form, kcal/mol of atoms: 9.66

a b c (Å): 4.613 4.613 5.900
angles (deg): 90.00 90.00 120.00
Positions (direct):
Rb1 0.667 0.333 0.500
Si1 0.333 0.667 0.000
Sc1 0.000 0.000 0.000

=====

24.
Below is a relaxed structure of Ba3Sc2, with properties calculated at the PBE-GGA level.

Summary:
Offset from the most stable computed form, kcal/mol of atoms: 1.39
Energy of formation, eV per atom: 0.473

a b c (Å): 5.967 5.967 7.670
angles (deg): 90.00 90.00 120.00
Last column: magnetic moment on the atom in μB.
Positions (direct):
Sc1 0.333 0.667 0.907  0.06
Sc2 0.667 0.333 0.093  0.06
Ba1 0.333 0.667 0.362  0.02
Ba2 0.000 0.000 0.000  0.01
Ba3 0.667 0.333 0.638  0.02